Entry 1:
Entry from Alexandria via LeMat-Bulk: a geometry-optimized Tb3PmTh3 structure (GGA-PBE). Values from VASP.

Quantum ESPRESSO input file:
```
&SYSTEM
  ibrav = 0, nat = 14, ntyp = 3
/
ATOMIC_SPECIES
Tb 158.93 Tb.upf
Pm 145.00 Pm.upf
Th 232.04 Th.upf
ATOMIC_POSITIONS crystal
Tb 0.750 0.804 0.761
Tb 0.750 0.957 0.196
Tb 0.250 0.761 0.957
Tb 0.750 0.239 0.043
Tb 0.250 0.043 0.804
Tb 0.250 0.196 0.239
Pm 0.250 0.333 0.667
Pm 0.750 0.667 0.333
Th 0.750 0.515 0.898
Th 0.750 0.384 0.485
Th 0.250 0.898 0.384
Th 0.750 0.102 0.616
Th 0.250 0.616 0.515
Th 0.250 0.485 0.102
CELL_PARAMETERS angstrom
5.858 0.000 0.000
0.000 8.252 -4.764
0.000 0.000 9.529
```

Computed properties:
As for the electronic total energy: -5.78 eV/atom. The space group is P6_3/m. The size of the total moment comes out at 0.000 Bohr magnetons per cell. The formation energy comes out at 46 kJ/mol of formula units.



Entry 2:
Entry from Alexandria via LeMat-Bulk: a geometry-optimized CaMnSi3 structure (GGA-PBE). Values from VASP.

Quantum ESPRESSO input file:
```
&SYSTEM
  ibrav = 0, nat = 5, ntyp = 3
/
ATOMIC_SPECIES
Ca 40.08 Ca.upf
Mn 54.94 Mn.upf
Si 28.09 Si.upf
ATOMIC_POSITIONS crystal
Ca 0.000 0.000 0.000
Mn 0.500 0.500 0.500
Si 0.000 0.500 0.000
Si 0.000 0.000 0.500
Si 0.500 0.000 0.000
CELL_PARAMETERS angstrom
5.082 0.000 0.000
0.000 5.082 0.000
0.000 0.000 5.082
```

Computed properties:
As for the electronic total energy: -3.31 eV/atom. As for the uncorrected formation energy: 1053 kJ/mol of formula units. The space group is Pm-3m. The size of the total moment comes out at 0.932 Bohr magnetons per cell.



Entry 3:
Entry from Alexandria via LeMat-Bulk: a geometry-optimized La2SiH2 structure (GGA-PBE). Values from VASP.

Quantum ESPRESSO input file:
```
&SYSTEM
  ibrav = 0, nat = 10, ntyp = 3
/
ATOMIC_SPECIES
H 1.01 H.upf
Si 28.09 Si.upf
La 138.91 La.upf
ATOMIC_POSITIONS crystal
H 0.105 0.605 0.500
H 0.605 0.895 0.500
H 0.895 0.395 0.500
H 0.395 0.105 0.500
Si 0.000 0.000 0.000
Si 0.500 0.500 0.000
La 0.340 0.840 0.000
La 0.840 0.660 0.000
La 0.660 0.160 0.000
La 0.160 0.340 0.000
CELL_PARAMETERS angstrom
-4.873 3.494 -5.041
-6.131 -2.608 4.119
0.066 2.690 1.801
```

Computed properties:
As for the electronic total energy: -4.51 eV/atom. The space group is P4/mbm. The size of the total moment comes out at 0.000 Bohr magnetons per cell.



Entry 4:
Entry from Alexandria via LeMat-Bulk: a geometry-optimized K5PtIO2 structure (GGA-PBE). Values from VASP.

Quantum ESPRESSO input file:
```
&SYSTEM
  ibrav = 0, nat = 9, ntyp = 4
/
ATOMIC_SPECIES
K 39.10 K.upf
Pt 195.08 Pt.upf
I 126.90 I.upf
O 16.00 O.upf
ATOMIC_POSITIONS crystal
K 0.000 0.000 0.500
K 0.000 0.500 0.796
K 0.500 0.000 0.204
K 0.000 0.500 0.204
K 0.500 0.000 0.796
Pt 0.000 0.000 0.000
I 0.500 0.500 0.500
O 0.000 0.000 0.224
O 0.000 0.000 0.776
CELL_PARAMETERS angstrom
5.392 0.000 0.000
0.000 5.392 0.000
0.000 0.000 9.292
```

Computed properties:
As for the electronic total energy: -3.59 eV/atom. As for the uncorrected formation energy: -899 kJ/mol of formula units. The space group is P4/mmm. The size of the total moment comes out at 0.056 Bohr magnetons per cell.



Entry 5:
Entry from Alexandria via LeMat-Bulk: a geometry-optimized La4Tb5Nd2 structure (GGA-PBE). Values from VASP.

Quantum ESPRESSO input file:
```
&SYSTEM
  ibrav = 0, nat = 11, ntyp = 3
/
ATOMIC_SPECIES
La 138.91 La.upf
Tb 158.93 Tb.upf
Nd 144.24 Nd.upf
ATOMIC_POSITIONS crystal
La 0.000 0.290 0.000
La 0.594 0.594 0.187
La 0.000 0.710 0.000
La 0.406 0.406 0.813
Tb 0.854 0.048 0.709
Tb 0.854 0.661 0.709
Tb 0.146 0.339 0.291
Tb 0.146 0.952 0.291
Tb 0.500 0.000 0.000
Nd 0.271 0.271 0.542
Nd 0.729 0.729 0.458
CELL_PARAMETERS angstrom
-0.864 3.278 1.070
-5.893 -3.624 6.347
11.938 -0.111 4.077
```

Computed properties:
As for the electronic total energy: -4.51 eV/atom. The space group is Immm. The size of the total moment comes out at 0.000 Bohr magnetons per cell. The formation energy comes out at 267 kJ/mol of formula units.



Entry 6:
Entry from Alexandria via LeMat-Bulk: a geometry-optimized NdAl3PtAu structure (GGA-PBE). Values from VASP.

Quantum ESPRESSO input file:
```
&SYSTEM
  ibrav = 0, nat = 12, ntyp = 4
/
ATOMIC_SPECIES
Nd 144.24 Nd.upf
Al 26.98 Al.upf
Pt 195.08 Pt.upf
Au 196.97 Au.upf
ATOMIC_POSITIONS crystal
Nd 0.750 0.218 0.437
Nd 0.250 0.782 0.563
Al 0.250 0.199 0.399
Al 0.000 0.294 0.000
Al 0.500 0.706 0.000
Al 0.500 0.294 0.000
Al 0.000 0.706 0.000
Al 0.750 0.801 0.601
Pt 0.250 0.020 0.041
Pt 0.750 0.980 0.959
Au 0.250 0.381 0.762
Au 0.750 0.619 0.238
CELL_PARAMETERS angstrom
6.080 0.000 0.000
0.000 6.694 0.000
0.000 -3.347 6.537
```

Computed properties:
As for the electronic total energy: -4.74 eV/atom. The space group is Cmcm. The size of the total moment comes out at 0.000 Bohr magnetons per cell. The formation energy comes out at -300 kJ/mol of formula units.



Entry 7:
Entry from Alexandria via LeMat-Bulk: a geometry-optimized Cd4InSn structure (GGA-PBE). Values from VASP.

Quantum ESPRESSO input file:
```
&SYSTEM
  ibrav = 0, nat = 12, ntyp = 3
/
ATOMIC_SPECIES
Cd 112.41 Cd.upf
In 114.82 In.upf
Sn 118.71 Sn.upf
ATOMIC_POSITIONS crystal
Cd 0.655 0.159 0.835
Cd 0.822 0.320 0.165
Cd 0.345 0.841 0.165
Cd 0.178 0.680 0.835
Cd 0.085 0.080 0.667
Cd 0.406 0.428 0.333
Cd 0.915 0.920 0.333
Cd 0.594 0.572 0.667
In 0.761 0.741 0.000
In 0.239 0.259 0.000
Sn 0.500 0.000 0.500
Sn 0.000 0.500 0.500
CELL_PARAMETERS angstrom
5.757 -0.654 -0.346
-0.715 5.674 0.137
-3.065 -1.774 9.359
```

Computed properties:
As for the electronic total energy: -1.69 eV/atom. The space group is P-1. The size of the total moment comes out at 0.000 Bohr magnetons per cell. The formation energy comes out at 23 kJ/mol of formula units.



Entry 8:
Entry from Alexandria via LeMat-Bulk: a geometry-optimized SbBrCl2 structure (GGA-PBE). Values from VASP.

Quantum ESPRESSO input file:
```
&SYSTEM
  ibrav = 0, nat = 8, ntyp = 3
/
ATOMIC_SPECIES
Sb 121.76 Sb.upf
Br 79.90 Br.upf
Cl 35.45 Cl.upf
ATOMIC_POSITIONS crystal
Sb 0.479 0.582 0.525
Sb 0.479 0.915 0.858
Br 0.241 0.241 0.851
Br 0.241 0.589 0.199
Cl 0.697 0.632 0.808
Cl 0.696 0.893 0.173
Cl 0.696 0.267 0.547
Cl 0.267 0.876 0.563
CELL_PARAMETERS angstrom
-4.615 -3.033 4.373
5.012 -0.042 4.905
0.425 5.350 4.514
```

Computed properties:
As for the electronic total energy: -3.13 eV/atom. As for the uncorrected formation energy: -292 kJ/mol of formula units. The space group is Cm. The size of the total moment comes out at 0.000 Bohr magnetons per cell.